[1]
The following is a PBE-GGA calculation of a relaxed MgAgRu4 crystal, from Alexandria.

Properties
Crystal system   cubic
N(E_F)   9.02 states/eV per cell
Calculated density   9.2 g/cm3
Total magnetic moment   0.39 μB/atom
VASP energy   -39.0 eV/cell

abc: 5.161 5.161 5.161
angles: 60.00 60.00 60.00
Element x y z (fractional)
Ru (0.375, 0.375, 0.875)
Ag (0.750, 0.750, 0.750)
Mg (0.000, 0.000, 0.000)
Ru (0.375, 0.375, 0.375)
Ru (0.875, 0.375, 0.375)
Ru (0.375, 0.875, 0.375)

=====

[2]
The following is a PBE-GGA calculation of a relaxed Ge3PdPt crystal, from Alexandria.

Properties
Energy relative to the lowest polymorph listed for this composition   735 meV/atom
Crystal system   cubic
N(E_F)   4.65 states/eV per cell
Calculated density   7.6 g/cm3
Total magnetic moment   0.00 μB/atom

abc: 4.844 4.844 4.844
angles: 90.00 90.00 90.00
Element x y z (fractional)
Pt (0.000, 0.000, 0.000)
Ge (0.500, 0.000, 0.000)
Ge (0.000, 0.000, 0.500)
Ge (0.000, 0.500, 0.000)
Pd (0.500, 0.500, 0.500)

=====

[3]
The following is a PBE-GGA calculation of a relaxed BaScCo2 crystal, from Alexandria.

Properties
Energy relative to the lowest polymorph listed for this composition   162 meV/atom
Crystal system   monoclinic
N(E_F)   5.78 states/eV per cell
Calculated density   5.0 g/cm3
Total magnetic moment   0.40 μB/atom

abc: 4.358 4.358 6.378
angles: 70.84 70.84 62.38
Element x y z (fractional)
Ba (0.750, 0.750, 0.750)
Co (0.928, 0.928, 0.196)
Sc (0.250, 0.250, 0.250)
Co (0.572, 0.572, 0.304)

=====

[4]
The following is a PBE-GGA calculation of a relaxed MgRe3Ge crystal, from Alexandria.

Properties
Energy relative to the lowest polymorph listed for this composition   0 meV/atom
Crystal system   cubic
N(E_F)   4.93 states/eV per cell
Calculated density   11.4 g/cm3
Total magnetic moment   0.00 μB/atom

abc: 4.574 4.574 4.574
angles: 90.00 90.00 90.00
Element x y z (fractional)
Mg (0.500, 0.500, 0.500)
Ge (0.000, 0.000, 0.000)
Re (0.500, 0.000, 0.000)
Re (0.000, 0.000, 0.500)
Re (0.000, 0.500, 0.000)

=====

[5]
The following is a PBE-GGA calculation of a relaxed Ba2MgF6 crystal, from Alexandria.

Properties
Crystal system   monoclinic
N(E_F)   0.00 states/eV per cell
Calculated density   4.2 g/cm3
Total magnetic moment   0.01 μB/atom
VASP energy   -100.5 eV/cell

abc: 5.814 6.835 8.211
angles: 90.00 94.58 90.00
Element x y z (fractional)
Mg (0.000, 0.000, 0.500)
F (0.610, 0.457, 0.232)
F (0.290, 0.859, 0.457)
Mg (0.500, 0.500, 0.000)
F (0.790, 0.641, 0.957)
F (0.364, 0.765, 0.060)
Ba (0.464, 0.093, 0.242)
F (0.890, 0.957, 0.268)
F (0.110, 0.043, 0.732)
Ba (0.536, 0.907, 0.758)
Ba (0.036, 0.593, 0.258)
F (0.136, 0.265, 0.440)
F (0.390, 0.543, 0.768)
Ba (0.964, 0.407, 0.742)
F (0.636, 0.235, 0.940)
F (0.710, 0.141, 0.543)
F (0.864, 0.735, 0.560)
F (0.210, 0.359, 0.043)

=====

[6]
The following is a PBE-GGA calculation of a relaxed ScFeRu4 crystal, from Alexandria.

Properties
Crystal system   cubic
N(E_F)   8.38 states/eV per cell
Calculated density   8.8 g/cm3
Total magnetic moment   0.76 μB/atom
VASP energy   -51.1 eV/cell

abc: 5.118 5.118 5.118
angles: 60.00 60.00 60.00
Element x y z (fractional)
Ru (0.625, 0.625, 0.625)
Ru (0.124, 0.625, 0.625)
Ru (0.625, 0.124, 0.625)
Ru (0.625, 0.625, 0.124)
Sc (0.250, 0.250, 0.250)
Fe (0.000, 0.000, 0.000)

=====

[7]
The following is a PBE-GGA calculation of a relaxed MnW2Au crystal, from Alexandria.

Properties
Energy relative to the lowest polymorph listed for this composition   100 meV/atom
Crystal system   monoclinic
N(E_F)   3.28 states/eV per cell
Calculated density   16.4 g/cm3
Total magnetic moment   0.60 μB/atom

abc: 4.424 2.710 5.287
angles: 81.85 90.00 90.00
Element x y z (fractional)
W (0.500, 0.219, 0.242)
Au (0.000, 0.628, 0.502)
W (0.000, 0.985, 0.982)
Mn (0.500, 0.667, 0.774)

=====

[8]
The following is a PBE-GGA calculation of a relaxed Dy2Er3Ga4 crystal, from Alexandria.

Properties
Crystal system   monoclinic
N(E_F)   13.55 states/eV per cell
Calculated density   8.3 g/cm3
Total magnetic moment   0.00 μB/atom
VASP energy   -80.4 eV/cell

abc: 7.334 7.885 7.931
angles: 90.00 90.00 106.45
Element x y z (fractional)
Er (0.252, 0.239, 0.674)
Ga (0.862, 0.082, 0.529)
Ga (0.362, 0.082, 0.971)
Ga (0.138, 0.918, 0.471)
Ga (0.621, 0.513, 0.625)
Ga (0.379, 0.487, 0.375)
Dy (0.572, 0.189, 0.314)
Ga (0.121, 0.513, 0.875)
Er (0.500, 0.500, 0.000)
Er (0.748, 0.761, 0.326)
Dy (0.072, 0.189, 0.186)
Dy (0.928, 0.811, 0.814)
Er (0.000, 0.500, 0.500)
Ga (0.638, 0.918, 0.029)
Er (0.752, 0.239, 0.826)
Er (0.248, 0.761, 0.174)
Ga (0.879, 0.487, 0.125)
Dy (0.428, 0.811, 0.686)

=====

[9]
The following is a PBE-GGA calculation of a relaxed KInSe2Br crystal, from Alexandria.

Properties
Energy relative to the lowest polymorph listed for this composition   790 meV/atom
Crystal system   tetragonal
N(E_F)   6.07 states/eV per cell
Calculated density   3.0 g/cm3
Total magnetic moment   0.60 μB/atom

abc: 6.040 6.040 6.029
angles: 90.00 90.00 90.00
Element x y z (fractional)
Se (0.500, 0.000, 0.000)
K (0.000, 0.000, 0.000)
In (0.500, 0.500, 0.500)
Se (0.000, 0.500, 0.000)
Br (0.000, 0.000, 0.500)

=====

[10]
The following is a PBE-GGA calculation of a relaxed NaSrCd6 crystal, from Alexandria.

Properties
Energy relative to the lowest polymorph listed for this composition   0 meV/atom
Crystal system   orthorhombic
N(E_F)   2.71 states/eV per cell
Calculated density   6.3 g/cm3
Total magnetic moment   0.00 μB/atom

abc: 5.096 5.769 7.020
angles: 90.00 90.00 90.00
Element x y z (fractional)
Cd (0.500, 0.847, 0.719)
Cd (0.000, 0.173, 0.730)
Sr (0.000, 0.664, 0.000)
Na (0.500, 0.360, 0.500)
Cd (0.500, 0.847, 0.281)
Cd (0.000, 0.688, 0.500)
Cd (0.500, 0.249, 0.000)
Cd (0.000, 0.173, 0.270)

=====

[11]
The following is a PBE-GGA calculation of a relaxed HoHPd2 crystal, from Alexandria.

Properties
Crystal system   trigonal
N(E_F)   2.59 states/eV per cell
Calculated density   10.1 g/cm3
Total magnetic moment   0.00 μB/atom
VASP energy   -18.2 eV/cell

abc: 3.096 3.096 7.736
angles: 78.46 78.46 60.00
Element x y z (fractional)
H (0.500, 0.500, 0.500)
Pd (0.117, 0.117, 0.648)
Ho (0.000, 0.000, 0.000)
Pd (0.883, 0.883, 0.352)

=====

[12]
The following is a PBE-GGA calculation of a relaxed MgTe crystal, from Alexandria.

Properties
Crystal system   monoclinic
N(E_F)   0.39 states/eV per cell
Calculated density   4.3 g/cm3
Total magnetic moment   0.00 μB/atom
VASP energy   -18.4 eV/cell

abc: 7.430 7.430 7.104
angles: 61.39 61.39 30.94
Element x y z (fractional)
Te (0.055, 0.055, 0.798)
Te (0.896, 0.896, 0.455)
Mg (0.701, 0.701, 0.847)
Mg (0.409, 0.409, 0.140)
Te (0.215, 0.215, 0.135)
Mg (0.556, 0.556, 0.458)

=====

What did the tenth record say?
The following is a PBE-GGA calculation of a relaxed NaSrCd6 crystal, from Alexandria.

Properties
Energy relative to the lowest polymorph listed for this composition   0 meV/atom
Crystal system   orthorhombic
N(E_F)   2.71 states/eV per cell
Calculated density   6.3 g/cm3
Total magnetic moment   0.00 μB/atom

abc: 5.096 5.769 7.020
angles: 90.00 90.00 90.00
Element x y z (fractional)
Cd (0.500, 0.847, 0.719)
Cd (0.000, 0.173, 0.730)
Sr (0.000, 0.664, 0.000)
Na (0.500, 0.360, 0.500)
Cd (0.500, 0.847, 0.281)
Cd (0.000, 0.688, 0.500)
Cd (0.500, 0.249, 0.000)
Cd (0.000, 0.173, 0.270)